Record 1
The following is a GGA-PBE calculation of a geometry-optimized Cr2PbAu structure, from Alexandria via LeMat-Bulk.

CIF file:
```
data_Cr2PbAu
_chemical_formula_sum 'Cr2 Pb1 Au1'
_space_group_name_H-M_alt 'P 1'
_space_group_IT_number 1
_cell_length_a 3.2145
_cell_length_b 3.2145
_cell_length_c 7.1822
_cell_angle_alpha 90.00
_cell_angle_beta 90.00
_cell_angle_gamma 90.00
loop_
_space_group_symop_operation_xyz
'x,y,z'
loop_
_atom_site_label
_atom_site_type_symbol
_atom_site_fract_x
_atom_site_fract_y
_atom_site_fract_z
_atom_site_occupancy
Cr1 Cr 0.5000 0.5000 0.1917 1
Cr2 Cr 0.0000 0.0000 0.0318 1
Pb1 Pb 0.0000 0.0000 0.4759 1
Au1 Au 0.5000 0.5000 0.8006 1
```

space-group type	No. 99
calculated formation energy	0.313	eV per atom

Record 2
The following is a GGA-PBE calculation of a geometry-optimized Cr2PbAu structure, from Alexandria via LeMat-Bulk.

CIF file:
```
data_Cr2PbAu
_chemical_formula_sum 'Cr2 Pb1 Au1'
_space_group_name_H-M_alt 'P 1'
_space_group_IT_number 1
_cell_length_a 5.7970
_cell_length_b 5.7970
_cell_length_c 5.7970
_cell_angle_alpha 144.88
_cell_angle_beta 134.33
_cell_angle_gamma 58.89
loop_
_space_group_symop_operation_xyz
'x,y,z'
loop_
_atom_site_label
_atom_site_type_symbol
_atom_site_fract_x
_atom_site_fract_y
_atom_site_fract_z
_atom_site_occupancy
Cr1 Cr 0.7553 0.2553 0.5000 1
Cr2 Cr 0.0243 0.0243 0.0000 1
Au1 Au 0.2365 0.7365 0.5000 1
Pb1 Pb 0.4839 0.4839 0.0000 1
```

space-group type	No. 44
calculated formation energy	0.510	eV per atom

Record 3
The following is a GGA-PBE calculation of a geometry-optimized CrPb2Au structure, from Alexandria via LeMat-Bulk.

CIF file:
```
data_CrPb2Au
_chemical_formula_sum 'Cr1 Pb2 Au1'
_space_group_name_H-M_alt 'P 1'
_space_group_IT_number 1
_cell_length_a 5.1137
_cell_length_b 5.1137
_cell_length_c 5.1137
_cell_angle_alpha 60.00
_cell_angle_beta 60.00
_cell_angle_gamma 60.00
loop_
_space_group_symop_operation_xyz
'x,y,z'
loop_
_atom_site_label
_atom_site_type_symbol
_atom_site_fract_x
_atom_site_fract_y
_atom_site_fract_z
_atom_site_occupancy
Pb1 Pb 0.7500 0.7500 0.7500 1
Pb2 Pb 0.2500 0.2500 0.2500 1
Cr1 Cr 0.0000 0.0000 0.0000 1
Au1 Au 0.5000 0.5000 0.5000 1
```

space-group type	No. 225
calculated formation energy	0.320	eV per atom

Record 4
The following is a GGA-PBE calculation of a geometry-optimized CrPbAu structure, from Alexandria via LeMat-Bulk.

CIF file:
```
data_CrPbAu
_chemical_formula_sum 'Cr1 Pb1 Au1'
_space_group_name_H-M_alt 'P 1'
_space_group_IT_number 1
_cell_length_a 6.0235
_cell_length_b 6.0040
_cell_length_c 6.0040
_cell_angle_alpha 147.00
_cell_angle_beta 147.08
_cell_angle_gamma 47.26
loop_
_space_group_symop_operation_xyz
'x,y,z'
loop_
_atom_site_label
_atom_site_type_symbol
_atom_site_fract_x
_atom_site_fract_y
_atom_site_fract_z
_atom_site_occupancy
Pb1 Pb 0.6698 0.6698 0.0000 1
Cr1 Cr 0.3533 0.3521 0.0012 1
Au1 Au 0.9769 0.9781 0.9988 1
```

space-group type	No. 8
calculated formation energy	0.291	eV per atom

Record 5
The following is a GGA-PBE calculation of a geometry-optimized Cr4PbAu structure, from Alexandria via LeMat-Bulk.

CIF file:
```
data_Cr4PbAu
_chemical_formula_sum 'Cr4 Pb1 Au1'
_space_group_name_H-M_alt 'P 1'
_space_group_IT_number 1
_cell_length_a 5.0040
_cell_length_b 5.0040
_cell_length_c 5.0040
_cell_angle_alpha 60.00
_cell_angle_beta 60.00
_cell_angle_gamma 60.00
loop_
_space_group_symop_operation_xyz
'x,y,z'
loop_
_atom_site_label
_atom_site_type_symbol
_atom_site_fract_x
_atom_site_fract_y
_atom_site_fract_z
_atom_site_occupancy
Cr1 Cr 0.3708 0.8877 0.3708 1
Cr2 Cr 0.8877 0.3708 0.3708 1
Cr3 Cr 0.3708 0.3708 0.3708 1
Cr4 Cr 0.3708 0.3708 0.8877 1
Pb1 Pb 0.7500 0.7500 0.7500 1
Au1 Au 0.0000 0.0000 0.0000 1
```

space-group type	No. 216
calculated formation energy	0.578	eV per atom

Record 6
The following is a GGA-PBE calculation of a geometry-optimized CrPb4Au2 structure, from Alexandria via LeMat-Bulk.

CIF file:
```
data_CrPb4Au2
_chemical_formula_sum 'Cr1 Pb4 Au2'
_space_group_name_H-M_alt 'P 1'
_space_group_IT_number 1
_cell_length_a 5.4318
_cell_length_b 5.4318
_cell_length_c 7.8101
_cell_angle_alpha 69.65
_cell_angle_beta 69.65
_cell_angle_gamma 90.00
loop_
_space_group_symop_operation_xyz
'x,y,z'
loop_
_atom_site_label
_atom_site_type_symbol
_atom_site_fract_x
_atom_site_fract_y
_atom_site_fract_z
_atom_site_occupancy
Pb1 Pb 0.0000 0.5000 0.0000 1
Pb2 Pb 0.8056 0.8056 0.3888 1
Pb3 Pb 0.1944 0.1944 0.6112 1
Pb4 Pb 0.5000 0.0000 0.0000 1
Au1 Au 0.3942 0.3942 0.2117 1
Au2 Au 0.6058 0.6058 0.7883 1
Cr1 Cr 0.0000 0.0000 0.0000 1
```

space-group type	No. 139
calculated formation energy	0.341	eV per atom

no.,total DFT energy (no corrections) (eV/atom),volume (Å³ per cell)
1,-6.25,74
2,-6.05,79
3,-4.76,95
4,-5.25,64
5,-7.00,89
6,-4.09,201